Entry 1:
{
  "formula": "Ba2LaCu",
  "functional": "PBE",
  "state": "relaxed",
  "lattice": [[10.868, -0.045, -0.027], [9.975, 4.317, -0.027], [9.975, 2.044, 3.802]],
  "species": ["La", "Cu", "Ba", "Ba"],
  "frac_coords": [[0.780, 0.780, 0.780], [0.490, 0.490, 0.490], [0.220, 0.220, 0.220], [0.010, 0.010, 0.010]],
  "formation_enthalpy_0k_ev_per_fu": 0.4,
  "e_above_lowest_polymorph_mev_per_atom": 49,
  "dos_at_fermi_per_ev_atom": 1.20
}

Entry 2:
{
  "formula": "PmThGa2Rh5",
  "functional": "PBE",
  "state": "relaxed",
  "lattice": [[4.517, 0.000, 0.000], [0.000, 4.517, 0.000], [0.000, 0.000, 8.052]],
  "species": ["Rh", "Rh", "Rh", "Rh", "Rh", "Pm", "Th", "Ga", "Ga"],
  "frac_coords": [[0.000, 0.500, 0.261], [0.500, 0.000, 0.261], [0.500, 0.500, 0.500], [0.500, 0.000, 0.739], [0.000, 0.500, 0.739], [0.000, 0.000, 0.500], [0.000, 0.000, 0.000], [0.500, 0.500, 0.159], [0.500, 0.500, 0.841]],
  "formation_enthalpy_0k_ev_per_fu": -6.0,
  "dos_at_fermi_per_ev_atom": 0.19
}

Entry 3:
{
  "formula": "BaMg2AlCo",
  "functional": "PBE",
  "state": "relaxed",
  "lattice": [[5.032, 0.000, 0.000], [0.000, 5.032, 0.000], [0.000, 0.000, 4.735]],
  "species": ["Ba", "Co", "Mg", "Mg", "Al"],
  "frac_coords": [[0.500, 0.500, 0.500], [0.000, 0.000, 0.000], [0.500, 0.000, 0.000], [0.000, 0.500, 0.000], [0.000, 0.000, 0.500]],
  "formation_enthalpy_0k_ev_per_fu": -0.5,
  "dos_at_fermi_per_ev_atom": 0.55
}

> What is the formula in the first record?

Ba2LaCu